meta-GGA SCAN PmAg2Pb, single point on PBEsol structure; VASP energy = -45.969 eV/atom
1.0
0.000 3.540 3.540
3.540 0.000 3.540
3.540 3.540 0.000
Pm Ag Pb
1 2 1
Direct
0.000 0.000 0.000
0.250 0.250 0.250
0.750 0.750 0.750
0.500 0.500 0.500

***

meta-GGA SCAN Re2AgPb, single point on PBEsol structure; VASP energy = -61.054 eV/atom
1.0
1.584 -2.255 0.000
1.584 2.255 0.000
0.000 0.000 9.868
Re Ag Pb
2 1 1
Direct
0.000 0.000 0.232
0.000 0.000 0.768
0.500 0.500 0.000
0.500 0.500 0.500